Entry 1:
Compound: Sm3In3Ni2Ir
Source: OQMD
Functional: GGA-PBE
Structure: relaxed

Values from the calculation:
calculated density = 9.31 g/cm³
raw total energy = -46.98 eV per cell

Lattice parameters (Å, degrees): 7.5150 7.5150 4.0306 90.00 90.00 120.00
Space group P-62m (No. 189)
Symmetry-distinct sites (fractional):
Sm (0.0000, 0.4070, 0.0000) x3
In (0.0000, 0.7413, 0.5000) x3
Ni (0.3333, 0.6667, 0.5000) x2
Ir (0.0000, 0.0000, 0.0000) x1

Entry 2:
Compound: GaFe6Si
Source: OQMD
Functional: GGA-PBE
Structure: relaxed

Values from the calculation:
calculated density = 7.89 g/cm³
raw total energy = -60.00 eV per cell

Lattice parameters (Å, degrees): 4.0078 4.0078 5.6709 90.00 90.00 90.00
Space group P4/mmm (No. 123)
Symmetry-distinct sites (fractional):
Ga (0.0000, 0.0000, 0.0000) x1
Fe (0.0000, 0.0000, 0.5000) x1
Fe (0.0000, 0.5000, 0.2588) x4
Fe (0.5000, 0.5000, 0.0000) x1
Si (0.5000, 0.5000, 0.5000) x1

Entry 3:
Compound: GeBiMo4N2
Source: OQMD
Functional: GGA-PBE
Structure: relaxed

Values from the calculation:
calculated density = 9.67 g/cm³
raw total energy = -68.26 eV per cell

Lattice parameters (Å, degrees): 3.3125 3.3125 12.5361 90.00 90.00 120.00
Space group P-6m2 (No. 187)
Symmetry-distinct sites (fractional):
Ge (0.0000, 0.0000, 0.0000) x1
Bi (0.3333, 0.6667, 0.5000) x1
Mo (0.0000, 0.0000, 0.3023) x2
Mo (0.3333, 0.6667, 0.1445) x2
N (0.6667, 0.3333, 0.2441) x2

Entry 4:
Compound: BaCoTc2
Source: OQMD
Functional: GGA-PBE
Structure: relaxed

Values from the calculation:
calculated density = 8.95 g/cm³
raw total energy = -100.56 eV per cell

Lattice parameters (Å, degrees): 6.6267 6.6267 6.6267 90.00 90.00 90.00
Space group F-43m (No. 216)
Symmetry-distinct sites (fractional):
Ba (0.0000, 0.0000, 0.0000) x4
Co (0.2500, 0.2500, 0.2500) x4
Tc (0.0000, 0.0000, 0.5000) x4
Tc (0.2500, 0.2500, 0.7500) x4

Entry 5:
Compound: La3Mg3PdAu2
Source: OQMD
Functional: GGA-PBE
Structure: relaxed

Values from the calculation:
calculated density = 7.27 g/cm³
raw total energy = -37.13 eV per cell

Lattice parameters (Å, degrees): 7.8732 7.8732 4.2118 90.00 90.00 120.00
Space group P-62m (No. 189)
Symmetry-distinct sites (fractional):
La (0.0000, 0.4118, 0.0000) x3
Mg (0.0000, 0.7666, 0.5000) x3
Pd (0.0000, 0.0000, 0.0000) x1
Au (0.3333, 0.6667, 0.5000) x2

Entry 6:
Compound: K2NaH6Ir
Source: OQMD
Functional: GGA-PBE
Structure: relaxed

Values from the calculation:
calculated density = 3.99 g/cm³
raw total energy = -144.89 eV per cell

Lattice parameters (Å, degrees): 7.9297 7.9297 7.9297 90.00 90.00 90.00
Space group Fm-3m (No. 225)
Symmetry-distinct sites (fractional):
K (0.2500, 0.2500, 0.2500) x8
Na (0.0000, 0.0000, 0.0000) x4
H (0.0000, 0.0000, 0.2864) x24
Ir (0.0000, 0.0000, 0.5000) x4

Entry 7:
Compound: Cs2DySnCl6
Source: OQMD
Functional: GGA-PBE
Structure: relaxed

Values from the calculation:
calculated density = 3.49 g/cm³
raw total energy = -77.31 eV per cell

Lattice parameters (Å, degrees): 8.1322 8.1322 10.9168 90.00 90.00 90.00
Space group I4/mmm (No. 139)
Symmetry-distinct sites (fractional):
Cs (0.0000, 0.5000, 0.2500) x4
Dy (0.0000, 0.0000, 0.0000) x2
Sn (0.0000, 0.0000, 0.5000) x2
Cl (0.0000, 0.0000, 0.2419) x4
Cl (0.2291, 0.2291, 0.0000) x8

Entry 8:
Compound: TaCd5
Source: OQMD
Functional: GGA-PBE
Structure: relaxed

Values from the calculation:
calculated density = 9.28 g/cm³
formation energy = 363 meV per atom

Lattice parameters (Å, degrees): 10.6225 17.9346 5.8058 90.00 106.03 90.00
Space group C2/m (No. 12)
Symmetry-distinct sites (fractional):
Ta (0.0000, 0.2202, 0.0000) x4
Ta (0.1220, 0.5000, 0.1385) x4
Cd (0.0705, 0.3556, 0.2964) x8
Cd (0.1104, 0.0786, 0.8940) x8
Cd (0.1267, 0.5000, 0.6599) x4
Cd (0.1314, 0.0000, 0.4373) x4
Cd (0.1391, 0.1898, 0.5075) x8
Cd (0.2045, 0.3176, 0.8726) x8

Entry 9:
Compound: GdBeSn
Source: OQMD
Functional: GGA-PBE
Structure: relaxed

Values from the calculation:
calculated density = 5.91 g/cm³
raw total energy = -44.99 eV per cell

Lattice parameters (Å, degrees): 6.8427 6.8427 6.8427 90.00 90.00 90.00
Space group F-43m (No. 216)
Symmetry-distinct sites (fractional):
Gd (0.0000, 0.0000, 0.0000) x4
Be (0.2500, 0.2500, 0.7500) x4
Sn (0.2500, 0.2500, 0.2500) x4